(1)
# PBE Na4TbHf3S8, optimized geometry
data_Na4TbHf3S8
_cell_length_a 7.4659
_cell_length_b 7.4659
_cell_length_c 20.3329
_cell_angle_alpha 90.00
_cell_angle_beta 90.00
_cell_angle_gamma 120.00
_space_group_name_H-M_alt 'R -3 m'
_space_group_IT_number 166
_space_group_name_Hall '-R 3 2"'
loop_
_atom_site_label
_atom_site_fract_x
_atom_site_fract_y
_atom_site_fract_z
Na1 0.0000 0.0000 0.0000
Na2 0.0000 0.5000 0.0000
Tb1 0.0000 0.0000 0.5000
Hf1 0.0000 0.5000 0.5000
S1 0.0000 0.0000 0.2396
S2 0.0140 0.5070 0.7583
# **DOS(E_F)**: 0.416 states/eV per atom
# **VASP energy**: -6.08 eV per atom

***

(2)
# PBE Hf2Zr, optimized geometry
data_Hf2Zr
_cell_length_a 6.367
_cell_length_b 4.484
_cell_length_c 9.529
_cell_angle_alpha 90.00
_cell_angle_beta 90.00
_cell_angle_gamma 90.00
_space_group_name_H-M_alt 'P n m a'
_space_group_IT_number 62
loop_
_space_group_symop_operation_xyz
'x,y,z'
'-x,-y,-z'
'-x+1/2,-y,z+1/2'
'x+1/2,y,-z+1/2'
'x+1/2,-y+1/2,-z+1/2'
'-x+1/2,y+1/2,z+1/2'
'-x,y+1/2,-z'
'x,-y+1/2,z'
loop_
_atom_site_label
_atom_site_fract_x
_atom_site_fract_y
_atom_site_fract_z
Hf1 0.121 0.250 0.083
Hf2 0.125 0.250 0.751
Zr1 0.128 0.250 0.414
# **DOS(E_F)**: 1.575 states/eV per atom
# **VASP energy**: -9.42 eV per atom
# **Formation energy from the elements**: 62 meV per atom